No. 1
Density functional theory data (PBE-GGA) for Y2TaAs after structural relaxation.

Cell lengths 6.627, 8.603, 3.190 Å; angles 90.00, 90.00, 90.00 degrees
Space group Cmmm (No. 65)
Asymmetric unit:
Y: 0.250 0.250 0.000 x4
Ta: 0.000 0.000 0.500 x2
As: 0.000 0.500 0.500 x2

Values from the calculation:
Calculated volume, Å³/cell: 181.9
Calculated total energy, eV/atom: -7.461
Total magnetization, μB/cell: 0.0

***

No. 2
Density functional theory data (PBE-GGA) for KMnSb after structural relaxation.

Cell lengths 4.671, 4.671, 8.270 Å; angles 90.00, 90.00, 90.00 degrees
Space group P4/nmm (No. 129, origin choice 2)
Asymmetric unit:
K: 0.250 0.250 0.154 x2
Mn: 0.250 0.750 0.500 x2
Sb: 0.250 0.250 0.686 x2

Values from the calculation:
Calculated volume, Å³/cell: 180.4
Raw formation energy, meV/atom: -143
Total magnetization, μB/cell: 8.8

***

No. 3
Density functional theory data (PBE-GGA) for Be2MoRu after structural relaxation.

Cell lengths 2.905, 4.020, 7.938 Å; angles 90.00, 90.00, 90.00 degrees
Space group Imm2 (No. 44)
Asymmetric unit:
Be: 0.000 0.000 0.000 x2
Be: 0.000 0.500 0.293 x2
Mo: 0.000 0.500 0.761 x2
Ru: 0.000 0.000 0.539 x2

Values from the calculation:
Calculated volume, Å³/cell: 92.7
Offset from the most stable computed form, eV/atom: 0.1010
Total magnetization, μB/cell: 0.0

***

No. 4
Density functional theory data (PBE-GGA) for MgP3H12 after structural relaxation.

Cell lengths 7.0741, 7.0741, 28.9288 Å; angles 90.00, 90.00, 120.00 degrees
Space group R3c (No. 161, hexagonal axes)
Asymmetric unit:
Mg: 0.0000 0.0000 0.0000 x6
P: 0.0063 0.2819 0.4082 x18
H: 0.0096 0.2570 0.0260 x18
H: 0.0646 0.5241 0.2602 x18
H: 0.0781 0.5013 0.4218 x18
H: 0.0833 0.5075 0.1248 x18

Values from the calculation:
Calculated volume, Å³/cell: 1253.7
Calculated total energy, eV/atom: -3.473
Total magnetization, μB/cell: 0.0

***

No. 5
Density functional theory data (PBE-GGA) for RbAl3Zn after structural relaxation.

Cell lengths 6.364, 6.364, 6.364 Å; angles 90.00, 90.00, 90.00 degrees
Space group Pm-3m (No. 221)
Asymmetric unit:
Rb: 0.000 0.000 0.000 x1
Al: 0.000 0.000 0.500 x3
Zn: 0.500 0.500 0.500 x1

Values from the calculation:
Calculated volume, Å³/cell: 257.7
Offset from the most stable computed form, eV/atom: 1.2162
Total magnetization, μB/cell: 1.9

***

No. 6
Density functional theory data (PBE-GGA) for NbInNi4 after structural relaxation.

Cell lengths 3.686, 17.823, 5.152 Å; angles 90.00, 90.00, 90.00 degrees
Space group Cmcm (No. 63)
Asymmetric unit:
Nb: 0.000 0.078 0.250 x4
In: 0.000 0.230 0.750 x4
Ni: 0.000 0.069 0.750 x4
Ni: 0.000 0.359 0.009 x8
Ni: 0.000 0.500 0.000 x4

Values from the calculation:
Calculated volume, Å³/cell: 338.5
Offset from the most stable computed form, eV/atom: 0.0000
Total magnetization, μB/cell: 0.0

***

No. 7
Density functional theory data (PBE-GGA) for LiPmInAg after structural relaxation.

Cell lengths 7.016, 7.016, 7.016 Å; angles 90.00, 90.00, 90.00 degrees
Space group F-43m (No. 216)
Asymmetric unit:
Li: 0.000 0.000 0.000 x4
Pm: 0.250 0.250 0.750 x4
In: 0.250 0.250 0.250 x4
Ag: 0.000 0.000 0.500 x4

Values from the calculation:
Calculated volume, Å³/cell: 345.3
Calculated total energy, eV/atom: -3.454
Total magnetization, μB/cell: 0.0

***

No. 8
Density functional theory data (PBE-GGA) for CaCd5Pd after structural relaxation.

Cell lengths 4.705, 4.705, 7.500 Å; angles 90.00, 90.00, 90.00 degrees
Space group P4/mmm (No. 123)
Asymmetric unit:
Ca: 0.000 0.000 0.000 x1
Cd: 0.000 0.500 0.298 x4
Cd: 0.500 0.500 0.000 x1
Pd: 0.000 0.000 0.500 x1

Values from the calculation:
Calculated volume, Å³/cell: 166.0
Calculated total energy, eV/atom: -1.955
Total magnetization, μB/cell: 0.0

***

No. 9
Density functional theory data (PBE-GGA) for TiAsSI2 after structural relaxation.

Cell lengths 5.421, 5.421, 4.856 Å; angles 90.00, 90.00, 90.00 degrees
Space group P4/mmm (No. 123)
Asymmetric unit:
Ti: 0.000 0.000 0.000 x1
As: 0.500 0.500 0.000 x1
S: 0.500 0.500 0.500 x1
I: 0.000 0.500 0.500 x2

Values from the calculation:
Calculated volume, Å³/cell: 142.7
Raw formation energy, meV/atom: 881
Total magnetization, μB/cell: 0.0

***

No. 10
Density functional theory data (PBE-GGA) for LiDyYIr after structural relaxation.

Cell lengths 6.960, 6.960, 6.960 Å; angles 90.00, 90.00, 90.00 degrees
Space group F-43m (No. 216)
Asymmetric unit:
Li: 0.000 0.000 0.000 x4
Dy: 0.250 0.250 0.250 x4
Y: 0.250 0.250 0.750 x4
Ir: 0.000 0.000 0.500 x4

Values from the calculation:
Calculated volume, Å³/cell: 337.2
Calculated total energy, eV/atom: -6.025
Total magnetization, μB/cell: 0.0

***

No. 11
Density functional theory data (PBE-GGA) for CaHf2Os2 after structural relaxation.

Cell lengths 4.404, 4.404, 11.388 Å; angles 90.00, 90.00, 90.00 degrees
Space group I4/mmm (No. 139)
Asymmetric unit:
Ca: 0.000 0.000 0.000 x2
Hf: 0.000 0.500 0.250 x4
Os: 0.000 0.000 0.389 x4

Values from the calculation:
Calculated volume, Å³/cell: 220.8
Offset from the most stable computed form, eV/atom: 0.0000
Total magnetization, μB/cell: 0.0

***

No. 12
Density functional theory data (PBE-GGA) for Ba2Cd after structural relaxation.

Cell lengths 8.593, 8.593, 8.593 Å; angles 90.00, 90.00, 90.00 degrees
Space group Pa-3 (No. 205)
Asymmetric unit:
Ba: 0.160 0.160 0.160 x8
Cd: 0.000 0.000 0.500 x4

Values from the calculation:
Calculated volume, Å³/cell: 634.4
Calculated total energy, eV/atom: -1.698
Total magnetization, μB/cell: 0.0

***

No. 13
Density functional theory data (PBE-GGA) for Nb2TcIr5W after structural relaxation.

Cell lengths 7.374, 7.374, 11.031 Å; angles 90.00, 90.00, 90.00 degrees
Space group I4/mcm (No. 140)
Asymmetric unit:
Nb: 0.116 0.384 0.000 x8
Tc: 0.000 0.500 0.250 x4
Ir: 0.000 0.000 0.000 x4
Ir: 0.200 0.300 0.362 x16
W: 0.000 0.000 0.250 x4

Values from the calculation:
Calculated volume, Å³/cell: 599.8
Calculated total energy, eV/atom: -9.346
Total magnetization, μB/cell: 0.0

***

No. 14
Density functional theory data (PBE-GGA) for SrCe2Nd3Se6 after structural relaxation.

Cell lengths 7.357, 12.755, 7.373 Å; angles 90.00, 109.49, 90.00 degrees
Space group C2/m (No. 12)
Asymmetric unit:
Sr: 0.000 0.000 0.000 x2
Ce: 0.000 0.334 0.000 x4
Nd: 0.000 0.163 0.500 x4
Nd: 0.000 0.500 0.500 x2
Se: 0.245 0.500 0.248 x4
Se: 0.247 0.331 0.748 x8

Values from the calculation:
Calculated volume, Å³/cell: 652.2
Raw formation energy, meV/atom: -1848
Total magnetization, μB/cell: 3.9

***

No. 15
Density functional theory data (PBE-GGA) for CaBeTl2 after structural relaxation.

Cell lengths 4.584, 4.584, 9.406 Å; angles 90.00, 90.00, 90.00 degrees
Space group I-4m2 (No. 119)
Asymmetric unit:
Ca: 0.000 0.000 0.000 x2
Be: 0.000 0.500 0.250 x2
Tl: 0.000 0.000 0.500 x2
Tl: 0.000 0.500 0.750 x2

Values from the calculation:
Calculated volume, Å³/cell: 197.6
Offset from the most stable computed form, eV/atom: 0.1703
Total magnetization, μB/cell: 0.0

***

No. 16
Density functional theory data (PBE-GGA) for As2HRuSe after structural relaxation.

Cell lengths 4.702, 4.702, 5.166 Å; angles 90.00, 90.00, 90.00 degrees
Space group P4/mmm (No. 123)
Asymmetric unit:
As: 0.000 0.500 0.000 x2
H: 0.000 0.000 0.500 x1
Ru: 0.500 0.500 0.000 x1
Se: 0.500 0.500 0.500 x1

Values from the calculation:
Calculated volume, Å³/cell: 114.2
Offset from the most stable computed form, eV/atom: 0.1926
Total magnetization, μB/cell: 0.4

***

No. 17
Density functional theory data (PBE-GGA) for Zr5Bi2H2 after structural relaxation.

Cell lengths 10.586, 3.748, 8.607 Å; angles 90.00, 92.64, 90.00 degrees
Space group C2/m (No. 12)
Asymmetric unit:
Zr: 0.000 0.000 0.000 x2
Zr: 0.140 0.000 0.441 x4
Zr: 0.217 0.500 0.161 x4
Bi: 0.064 0.500 0.720 x4
H: 0.190 0.000 0.046 x4

Values from the calculation:
Calculated volume, Å³/cell: 341.1
Offset from the most stable computed form, eV/atom: 0.0000
Total magnetization, μB/cell: 0.0

***

No. 18
Density functional theory data (PBE-GGA) for KZrS3 after structural relaxation.

Cell lengths 5.052, 5.052, 5.052 Å; angles 90.00, 90.00, 90.00 degrees
Space group Pm-3m (No. 221)
Asymmetric unit:
K: 0.000 0.000 0.000 x1
Zr: 0.500 0.500 0.500 x1
S: 0.000 0.500 0.500 x3

Values from the calculation:
Calculated volume, Å³/cell: 128.9
Raw formation energy, meV/atom: -1175
Offset from the most stable computed form, eV/atom: 0.0000
Total magnetization, μB/cell: 0.0